VASP calculation (GGA-PBE) on an optimized crystal structure of Dy2Cd6In.

Computed properties:
For the calculated formation energy, the calculation gives -0.2217 eV per atom. As for the density of states at the Fermi level: 0.652 states/eV/atom.

abc: 8.7732 8.7732 9.8419
angles: 90.00 90.00 120.00
Closest atoms and distances in Å follow each position.
Space group R-3m (No. 166, hexagonal axes)
One atom of each set of equivalent atoms:
Dy (0.0000, 0.0000, 0.1721) [6 per cell]  1 In 3.23, 12 Cd 3.33-3.37, 1 Dy 3.39
Cd (0.0000, 0.3323, 0.0000) [18 per cell]  3 Cd 2.92-2.94
In (0.0000, 0.0000, 0.5000) [3 per cell]  2 Dy 3.23, 12 Cd 3.36



VASP calculation (GGA-PBE) on an optimized crystal structure of Dy4CdIn3.

Computed properties:
For the calculated formation energy, the calculation gives -0.3873 eV per atom. The offset from the most stable computed form is 0.0458 eV/atom. As for the density of states at the Fermi level: 0.957 states/eV/atom.

abc: 3.7719 4.8011 12.0765
angles: 90.00 90.00 90.00
Closest atoms and distances in Å follow each position.
Space group Pmm2 (No. 25)
One atom of each set of equivalent atoms:
Dy (0.0000, 0.0000, 0.0000) [1 per cell]  5 In 3.20-3.21, 2 Cd 3.37
Dy (0.0000, 0.5000, 0.3115) [1 per cell]  4 Cd 3.20, 3 In 3.21-3.38
Dy (0.5000, 0.0000, 0.4961) [1 per cell]  1 Cd 3.20, 6 In 3.21-3.44
Dy (0.5000, 0.5000, 0.8131) [1 per cell]  7 In 3.20-3.41
Cd (0.5000, 0.0000, 0.2311) [1 per cell]  2 In 3.02, 7 Dy 3.20-3.37
In (0.0000, 0.0000, 0.7340) [1 per cell]  2 In 3.05, 5 Dy 3.20-3.21
In (0.0000, 0.5000, 0.5776) [1 per cell]  2 In 3.05, 7 Dy 3.21-3.41
In (0.5000, 0.5000, 0.0797) [1 per cell]  2 Cd 3.02, 7 Dy 3.20-3.38



VASP calculation (GGA-PBE) on an optimized crystal structure of Dy4Cd3In2.

Computed properties:
For the calculated formation energy, the calculation gives -0.3190 eV per atom. As for the density of states at the Fermi level: 0.857 states/eV/atom.

abc: 8.9826 5.1890 10.1383
angles: 90.00 90.06 90.00
Closest atoms and distances in Å follow each position.
Space group C2/m (No. 12)
One atom of each set of equivalent atoms:
Dy (0.9999, 0.0000, 0.1734) [4 per cell]  3 In 3.23, 4 Cd 3.31-3.32, 1 Dy 3.52
Dy (0.1668, 0.5000, 0.6158) [4 per cell]  4 In 3.14-3.29, 3 Cd 3.22
Cd (0.0000, 0.0000, 0.5000) [2 per cell]  8 Dy 3.22-3.31
Cd (0.1667, 0.5000, 0.9681) [4 per cell]  3 Cd 3.06, 1 In 3.28, 3 Dy 3.32
In (0.1665, 0.5000, 0.2918) [4 per cell]  7 Dy 3.14-3.29, 1 Cd 3.28